# GGA-PBE RbScAlAu, optimized geometry
data_RbScAlAu
_space_group_name_H-M_alt 'F -4 3 m'
_space_group_IT_number 216
_space_group_name_Hall 'F -4 2 3'
_cell_length_a 7.450
_cell_length_b 7.450
_cell_length_c 7.450
_cell_angle_alpha 90.00
_cell_angle_beta 90.00
_cell_angle_gamma 90.00
loop_
_atom_site_label
_atom_site_fract_x
_atom_site_fract_y
_atom_site_fract_z
Rb1 0.000 0.000 0.000
Sc1 0.000 0.000 0.500
Al1 0.250 0.250 0.250
Au1 0.250 0.250 0.750
# Energy above the lowest structure with this stoichiometry = 0.065 eV/atom

***

# GGA-PBE GaCoRePt, optimized geometry
data_GaCoRePt
_space_group_name_H-M_alt 'F -4 3 m'
_space_group_IT_number 216
_space_group_name_Hall 'F -4 2 3'
_cell_length_a 6.067
_cell_length_b 6.067
_cell_length_c 6.067
_cell_angle_alpha 90.00
_cell_angle_beta 90.00
_cell_angle_gamma 90.00
loop_
_atom_site_label
_atom_site_fract_x
_atom_site_fract_y
_atom_site_fract_z
Ga1 0.000 0.000 0.000
Co1 0.250 0.250 0.250
Re1 0.250 0.250 0.750
Pt1 0.000 0.000 0.500
# Energy above the lowest structure with this stoichiometry = 0.000 eV/atom

***

# GGA-PBE NaNd5Se8, optimized geometry
data_NaNd5Se8
_space_group_name_H-M_alt 'I -4'
_space_group_IT_number 82
_space_group_name_Hall 'I -4'
_cell_length_a 8.945
_cell_length_b 8.945
_cell_length_c 8.968
_cell_angle_alpha 90.00
_cell_angle_beta 90.00
_cell_angle_gamma 90.00
loop_
_atom_site_label
_atom_site_fract_x
_atom_site_fract_y
_atom_site_fract_z
Na1 0.000 0.000 0.000
Nd1 0.000 0.500 0.250
Nd2 0.129 0.747 0.628
Se1 0.075 0.821 0.310
Se2 0.076 0.674 0.952
# E_tot = -5.625 eV/atom

***

# GGA-PBE CsAuNO, optimized geometry
data_CsAuNO
_space_group_name_H-M_alt 'P m c 21'
_space_group_IT_number 26
_space_group_name_Hall 'P 2c -2'
_cell_length_a 3.747
_cell_length_b 6.887
_cell_length_c 6.959
_cell_angle_alpha 90.00
_cell_angle_beta 90.00
_cell_angle_gamma 90.00
loop_
_atom_site_label
_atom_site_fract_x
_atom_site_fract_y
_atom_site_fract_z
Cs1 0.000 0.214 0.000
Au1 0.500 0.264 0.509
N1 0.000 0.302 0.476
O1 0.500 0.053 0.711
# Energy above the lowest structure with this stoichiometry = 0.420 eV/atom

***

# GGA-PBE LuTaRe, optimized geometry
data_LuTaRe
_space_group_name_H-M_alt 'F -4 3 m'
_space_group_IT_number 216
_space_group_name_Hall 'F -4 2 3'
_cell_length_a 6.394
_cell_length_b 6.394
_cell_length_c 6.394
_cell_angle_alpha 90.00
_cell_angle_beta 90.00
_cell_angle_gamma 90.00
loop_
_atom_site_label
_atom_site_fract_x
_atom_site_fract_y
_atom_site_fract_z
Lu1 0.000 0.000 0.000
Ta1 0.000 0.000 0.500
Re1 0.250 0.250 0.250
# Energy above the lowest structure with this stoichiometry = 0.000 eV/atom

***

# GGA-PBE In3Ni5Ge2, optimized geometry
data_In3Ni5Ge2
_space_group_name_H-M_alt 'C m c m'
_space_group_IT_number 63
_space_group_name_Hall '-C 2c 2'
_cell_length_a 4.005
_cell_length_b 12.724
_cell_length_c 11.941
_cell_angle_alpha 90.00
_cell_angle_beta 90.00
_cell_angle_gamma 90.00
loop_
_atom_site_label
_atom_site_fract_x
_atom_site_fract_y
_atom_site_fract_z
In1 0.000 0.000 0.000
In2 0.000 0.332 0.026
Ni1 0.000 0.157 0.143
Ni2 0.000 0.340 0.250
Ni3 0.000 0.477 0.645
Ge1 0.000 0.037 0.750
Ge2 0.000 0.292 0.750
# E_tot = -4.732 eV/atom

***

# GGA-PBE YFeAgPb, optimized geometry
data_YFeAgPb
_space_group_name_H-M_alt 'F -4 3 m'
_space_group_IT_number 216
_space_group_name_Hall 'F -4 2 3'
_cell_length_a 6.991
_cell_length_b 6.991
_cell_length_c 6.991
_cell_angle_alpha 90.00
_cell_angle_beta 90.00
_cell_angle_gamma 90.00
loop_
_atom_site_label
_atom_site_fract_x
_atom_site_fract_y
_atom_site_fract_z
Y1 0.000 0.000 0.000
Fe1 0.000 0.000 0.500
Ag1 0.250 0.250 0.750
Pb1 0.250 0.250 0.250
# Energy above the lowest structure with this stoichiometry = 0.000 eV/atom

***

# GGA-PBE LiPrCoNiP2, optimized geometry
data_LiPrCoNiP2
_space_group_name_H-M_alt 'P 3 m 1'
_space_group_IT_number 156
_space_group_name_Hall 'P 3 -2"'
_cell_length_a 3.9039
_cell_length_b 3.9039
_cell_length_c 6.6261
_cell_angle_alpha 90.00
_cell_angle_beta 90.00
_cell_angle_gamma 120.00
loop_
_atom_site_label
_atom_site_fract_x
_atom_site_fract_y
_atom_site_fract_z
Li1 0.0000 0.0000 0.0000
Pr1 0.0000 0.0000 0.4977
Co1 0.3333 0.6667 0.8612
Ni1 0.6667 0.3333 0.1338
P1 0.3333 0.6667 0.2018
P2 0.6667 0.3333 0.7877
# E_tot = -5.922 eV/atom